The following is a DFT calculation (PBE) of a geometry-optimized HfMn2Se structure.

Cell: 7.360 7.360 5.837 Å, 50.91 50.91 90.00°
Each line ends with the local moment (μB).
Atoms (fractional coordinates):
Mn1 0.375 0.418 0.750  3.27
Mn2 0.875 0.832 0.750  3.28
Mn3 0.168 0.625 0.250  3.28
Mn4 0.582 0.125 0.250  3.27
Hf1 0.750 0.250 0.500  -0.24
Hf2 0.000 0.000 0.000  -0.24
Se1 0.500 0.500 0.000  0.01
Se2 0.250 0.750 0.500  0.02

Output
Total moment in μB/f.u.: 6.567
Space-group type: I-42d, No. 122
E_form (uncorrected) in eV/atom: 0.10
Volume in A^3/atom: 17.9